(1)
This record from Alexandria via LeMat-Bulk describes ErNiRh after structural relaxation. The functional is PBE.

Properties
DOS(E_F)   4.20 states/eV per cell
DFT total energy   -0.230 hartree per atom

```
ErNiRh
1.0
3.356 0.000 0.000
0.000 3.356 0.000
-1.678 -1.678 4.525
Ni Rh Er
1 1 1
Direct
0.638 0.638 0.276 Ni
0.263 0.263 0.525 Rh
0.950 0.950 0.899 Er
```

=====

(2)
This record from Alexandria via LeMat-Bulk describes SrLi2Al after structural relaxation. The functional is PBE.

Properties
DOS(E_F)   2.24 states/eV per cell
DFT total energy   -0.084 hartree per atom

```
SrLi2Al
1.0
5.019 0.000 0.000
0.000 3.528 0.001
0.000 0.570 5.959
Al Li Sr
1 2 1
Direct
0.500 0.750 0.750 Al
0.000 0.961 0.928 Li
0.000 0.539 0.572 Li
0.500 0.250 0.250 Sr
```

=====

(3)
This record from Alexandria via LeMat-Bulk describes K2Au after structural relaxation. The functional is PBE.

Properties
DOS(E_F)   2.52 states/eV per cell
DFT total energy   -0.075 hartree per atom

```
K2Au
1.0
11.433 -0.821 0.000
-10.389 4.842 0.000
0.000 0.000 5.585
Au K
2 4
Direct
0.622 0.378 0.000 Au
0.489 0.511 0.500 Au
0.998 0.002 0.000 K
0.241 0.759 0.000 K
0.870 0.130 0.500 K
0.113 0.887 0.500 K
```

=====

(4)
This record from Alexandria via LeMat-Bulk describes Sr2YAgHg after structural relaxation. The functional is PBE.

Properties
DOS(E_F)   8.72 states/eV per cell
DFT total energy   -0.092 hartree per atom

```
Sr2YAgHg
1.0
6.068 0.000 0.000
0.000 5.581 0.000
0.000 0.000 6.068
Y Sr Hg Ag
1 2 1 1
Direct
0.000 0.500 0.000 Y
0.000 0.000 0.500 Sr
0.500 0.000 0.000 Sr
0.500 0.500 0.500 Hg
0.000 0.000 0.000 Ag
```

=====

(5)
This record from Alexandria via LeMat-Bulk describes NiAs2 after structural relaxation. The functional is PBE.

Properties
DOS(E_F)   4.17 states/eV per cell
DFT total energy   -0.178 hartree per atom

```
NiAs2
1.0
2.000 -3.463 0.000
2.000 3.463 0.000
0.000 0.000 7.359
Ni As
2 4
Direct
0.667 0.333 0.250 Ni
0.333 0.667 0.750 Ni
0.000 0.000 0.000 As
0.000 0.000 0.500 As
0.333 0.667 0.250 As
0.667 0.333 0.750 As
```

=====

(6)
This record from Alexandria via LeMat-Bulk describes Zn3NiH after structural relaxation. The functional is PBE.

Properties
DOS(E_F)   2.13 states/eV per cell
DFT total energy   -0.072 hartree per atom

```
Zn3NiH
1.0
-3.803 -1.621 -2.008
-1.939 -0.565 4.128
-1.703 4.263 -0.216
Ni Zn H
1 3 1
Direct
0.000 0.000 0.000 Ni
0.000 0.500 0.000 Zn
0.000 0.000 0.500 Zn
0.500 0.000 0.000 Zn
0.500 0.500 0.500 H
```

=====

(7)
This record from Alexandria via LeMat-Bulk describes CsTbMnBr6 after structural relaxation. The functional is PBE.

Properties
DOS(E_F)   0.00 states/eV per cell
E_form (uncorrected)   -1322.1 kJ/mol of formula units

```
CsTbMnBr6
1.0
7.221 0.000 0.000
3.610 6.253 0.000
0.000 0.000 8.156
Cs Tb Mn Br
1 1 1 6
Direct
0.000 0.000 0.000 Cs
0.333 0.333 0.500 Tb
0.667 0.667 0.500 Mn
0.988 0.384 0.304 Br
0.384 0.988 0.696 Br
0.628 0.384 0.696 Br
0.988 0.628 0.696 Br
0.384 0.628 0.304 Br
0.628 0.988 0.304 Br
```

=====

(8)
This record from Alexandria via LeMat-Bulk describes HfAsRuF2 after structural relaxation. The functional is PBE.

Properties
DOS(E_F)   2.84 states/eV per cell
E_form (uncorrected)   -304.9 kJ/mol of formula units

```
HfAsRuF2
1.0
-1.022 -3.686 -1.180
3.002 -1.997 3.638
-3.078 0.034 2.559
Ru As Hf F
1 1 1 2
Direct
0.000 0.500 0.000 Ru
0.000 0.000 0.000 As
0.500 0.500 0.500 Hf
0.000 0.000 0.500 F
0.500 0.000 0.000 F
```